Entry 1:
First-principles (GGA-PBE) data for a geometry-optimized Li8N2F structure, as listed in Alexandria.

Cell lengths 6.8808, 6.8808, 5.6608 Å; angles 94.89, 94.89, 27.19 degrees
Positions (direct):
Li1 0.0448 0.0448 0.3210
Li2 0.2200 0.2200 0.8589
Li3 0.3111 0.3111 0.5272
Li4 0.3810 0.3810 0.9319
Li5 0.6190 0.6190 0.0681
Li6 0.6889 0.6889 0.4728
Li7 0.7800 0.7800 0.1411
Li8 0.9552 0.9552 0.6790
N1 0.1924 0.1924 0.2317
N2 0.8076 0.8076 0.7683
F1 0.5000 0.5000 0.5000

Entry 2:
First-principles (GGA-PBE) data for a geometry-optimized KAc4NdO8 structure, as listed in Alexandria.

Cell lengths 7.4806, 7.4806, 7.4806 Å; angles 61.04, 61.04, 61.04 degrees
Positions (direct):
K1 0.0000 0.0000 0.0000
Ac1 0.1206 0.6277 0.6277
Ac2 0.2502 0.2502 0.2502
Ac3 0.6277 0.1206 0.6277
Ac4 0.6277 0.6277 0.1206
Nd1 0.6297 0.6297 0.6297
O1 0.3820 0.3820 0.3820
O2 0.3879 0.3879 0.8515
O3 0.3879 0.8515 0.3879
O4 0.4428 0.8480 0.8480
O5 0.8480 0.4428 0.8480
O6 0.8480 0.8480 0.4428
O7 0.8515 0.3879 0.3879
O8 0.8539 0.8539 0.8539

In the order shown, the computed E_tot values come out to -41.4; -104.4 eV per formula unit.
In the order shown, the computed raw formation energy values come out to -7.61; -42.41 eV per formula unit.